P:
14
Lattice="6.2739 0.0000 0.0000 0.0000 10.3345 0.0000 -0.2115 0.0000 6.3569" Properties=species:S:1:pos:R:3 comment="Tb2Tm3Sc2, optimized geometry, DFT PBE-GGA" crystal_system=monoclinic magmom_total_mub_per_atom=0.000 pbc="T T T"
Tb 0.8323 2.5056 1.5823
Tb 0.7265 2.6616 4.7608
Tb 5.3358 7.6729 1.5961
Tb 5.2300 7.8289 4.7746
Tm 0.0000 0.0000 0.0000
Tm -0.1058 5.1672 3.1785
Tm 1.5895 5.7609 0.1452
Tm 1.4837 9.7408 3.3236
Tm 4.5786 0.5937 3.0333
Tm 4.4729 4.5736 6.2118
Sc 2.6951 6.6723 3.3311
Sc 2.8008 8.8295 0.1527
Sc 3.2615 1.5050 6.2043
Sc 3.3673 3.6622 3.0258

Q:
14
Lattice="-4.7081 4.7081 4.7081 4.7081 -4.7081 4.7081 4.7081 4.7081 -4.7081" Properties=species:S:1:pos:R:3 comment="Tb2Tm3Sc2, optimized geometry, DFT PBE-GGA" crystal_system=cubic magmom_total_mub_per_atom=0.000 pbc="T T T"
Tb 6.1413 -1.4332 1.4332
Tb 1.4332 6.1413 -1.4332
Tb 3.2749 3.2749 3.2749
Tb -1.4332 1.4332 6.1413
Tm 7.0621 1.7448 0.0000
Tm 2.9633 0.0000 2.3540
Tm 2.3540 2.9633 0.0000
Tm 0.0000 2.3540 2.9633
Tm 1.7448 0.0000 7.0621
Tm 0.0000 7.0621 1.7448
Sc 4.2298 0.4783 -0.4783
Sc 0.4783 0.4783 0.4783
Sc 0.4783 -0.4783 4.2298
Sc -0.4783 4.2298 0.4783

Most favorable first, least favorable last: P, Q

P:
10
Lattice="4.5952 2.6531 3.7706 -4.5952 2.6531 3.7706 0.0000 -5.3061 3.7706" Properties=species:S:1:pos:R:3 comment="TbTm3Sc6, optimized geometry, DFT PBE-GGA" crystal_system=trigonal magmom_total_mub_per_atom=0.000 pbc="T T T"
Tb 0.0000 0.0000 0.0000
Tm 0.0000 0.0000 2.8468
Tm 0.0000 0.0000 5.6581
Tm 0.0000 0.0000 8.4836
Sc -3.0660 0.0050 5.6315
Sc -1.5121 -2.6469 7.5159
Sc 1.5287 -2.6577 5.6315
Sc -1.5362 2.6329 7.5159
Sc 1.5373 2.6527 5.6315
Sc 3.0483 0.0139 7.5159

Q:
20
Lattice="5.2167 -8.9314 0.0000 5.2167 8.9314 0.0000 0.0000 0.0000 5.8211" Properties=species:S:1:pos:R:3 comment="TbTm3Sc6, optimized geometry, DFT PBE-GGA" crystal_system=orthorhombic magmom_total_mub_per_atom=0.005 pbc="T T T"
Tb 5.2167 5.1793 2.9106
Tb 5.2167 -5.1793 0.0000
Tm 1.8252 1.8779 1.7825
Tm 1.8252 -1.8779 4.6931
Tm 5.2167 1.8841 2.3435
Tm 5.2167 -1.8841 5.2541
Tm 8.6082 1.8779 1.7825
Tm 8.6082 -1.8779 4.6931
Sc 2.5580 3.8201 4.0845
Sc 5.2167 8.0786 1.5511
Sc 3.4873 0.9219 5.0043
Sc 5.2167 3.8143 5.6926
Sc 3.4873 -0.9219 2.0938
Sc 2.5580 -3.8201 1.1739
Sc 7.8754 3.8201 4.0845
Sc 6.9461 0.9219 5.0043
Sc 5.2167 -3.8143 2.7821
Sc 6.9461 -0.9219 2.0938
Sc 5.2167 -8.0786 4.4617
Sc 7.8754 -3.8201 1.1739

Most favorable first, least favorable last: Q, P

P:
10
Lattice="4.6260 2.6708 3.7551 -4.6260 2.6708 3.7551 0.0000 -5.3416 3.7551" Properties=species:S:1:pos:R:3 comment="Tb3TmSc6, optimized geometry, DFT PBE-GGA" crystal_system=trigonal magmom_total_mub_per_atom=0.001 pbc="T T T"
Tb 0.0000 0.0000 0.0000
Tb 0.0000 0.0000 2.8102
Tb 0.0000 0.0000 8.4493
Tm 0.0000 0.0000 5.6312
Sc -3.0744 -0.0160 4.6808
Sc -1.5257 -2.6708 6.5634
Sc 1.5511 -2.6545 4.6808
Sc -1.5501 2.6566 6.5634
Sc 1.5234 2.6705 4.6808
Sc 3.0758 0.0141 6.5634

Q:
20
Lattice="5.2417 -8.9969 0.0000 5.2417 8.9969 0.0000 0.0000 0.0000 5.8466" Properties=species:S:1:pos:R:3 comment="Tb3TmSc6, optimized geometry, DFT PBE-GGA" crystal_system=orthorhombic magmom_total_mub_per_atom=0.019 pbc="T T T"
Tb 5.2417 7.1410 2.9233
Tb 3.4086 1.8906 5.3127
Tb 3.4086 -1.8906 2.3894
Tb 7.0748 1.8906 5.3127
Tb 7.0748 -1.8906 2.3894
Tb 5.2417 -7.1410 0.0000
Tm 5.2417 3.8323 3.5205
Tm 5.2417 -3.8323 0.5972
Sc 2.7123 3.8686 1.7666
Sc 1.7499 0.9577 2.6780
Sc 5.2417 5.2151 0.4318
Sc 1.7499 -0.9577 5.6013
Sc 5.2417 0.8952 2.2200
Sc 2.7123 -3.8686 4.6899
Sc 7.7711 3.8686 1.7666
Sc 5.2417 -0.8952 5.1433
Sc 8.7335 0.9577 2.6780
Sc 5.2417 -5.2151 3.3551
Sc 8.7335 -0.9577 5.6013
Sc 7.7711 -3.8686 4.6899

Most favorable first, least favorable last: Q, P

P:
12
Lattice="7.9508 -2.8907 0.0000 7.9508 2.8907 0.0000 -4.1524 0.0000 8.2135" Properties=species:S:1:pos:R:3 comment="Tb7Tm4Sc, optimized geometry, DFT PBE-GGA" crystal_system=monoclinic magmom_total_mub_per_atom=0.053 pbc="T T T"
Tb 0.0000 0.0000 0.0000
Tb 4.0577 0.0000 1.0321
Tb 1.4898 0.0000 6.3826
Tb 4.3577 0.0000 4.6720
Tb 7.3916 0.0000 3.5415
Tb 10.2595 0.0000 1.8309
Tb 7.6916 0.0000 7.1814
Tm -1.7063 0.0000 5.7368
Tm 1.1471 0.0000 3.2284
Tm 10.6021 0.0000 4.9851
Tm 13.4555 0.0000 2.4768
Sc 7.9508 0.0000 0.0000

Q:
12
Lattice="9.1800 -3.4881 0.0000 9.1800 3.4881 0.0000 -0.1946 0.0000 5.8614" Properties=species:S:1:pos:R:3 comment="Tb7Tm4Sc, optimized geometry, DFT PBE-GGA" crystal_system=monoclinic magmom_total_mub_per_atom=0.001 pbc="T T T"
Tb 0.0000 0.0000 0.0000
Tb 3.3907 0.0000 1.4826
Tb 5.1259 0.0000 4.4834
Tb 8.3422 0.0000 4.3675
Tb 9.8233 0.0000 1.4938
Tb 13.0396 0.0000 1.3780
Tb 14.7748 0.0000 4.3787
Tm 6.6547 1.6082 1.5450
Tm 11.5107 1.6082 4.3164
Tm 6.6547 -1.6082 1.5450
Tm 11.5107 -1.6082 4.3164
Sc -0.0973 0.0000 2.9307

Most favorable first, least favorable last: Q, P